(1)
Crystalline LaCd2Au9 at its relaxed geometry, computed with PBE-GGA.

Unit cell a=5.6568 b=5.6568 c=9.6489 alpha=72.95 beta=72.95 gamma=60.00
Fractional positions:
Au1 0.5882 0.5882 0.7427
Au2 0.9192 0.4118 0.2573
Au3 0.6667 0.6667 0.0000
Au4 0.5000 0.5000 0.5000
Au5 0.5882 0.0808 0.7427
Au6 0.0808 0.5882 0.7427
Au7 0.3333 0.3333 0.0000
Au8 0.4118 0.4118 0.2573
Au9 0.4118 0.9192 0.2573
Cd1 0.1445 0.1445 0.5665
Cd2 0.8555 0.8555 0.4335
La1 0.0000 0.0000 0.0000

Total DFT energy (no corrections) in eV per atom: -3.29

(2)
Crystalline LaCdAu at its relaxed geometry, computed with PBE-GGA.

Unit cell a=4.9255 b=4.9255 c=3.6460 alpha=90.00 beta=90.00 gamma=120.00
Fractional positions:
Cd1 0.6667 0.3333 0.1664
La1 0.3333 0.6667 0.6665
Au1 0.0000 0.0000 0.1670

Total DFT energy (no corrections) in eV per atom: -3.65

Question: Which formula does entry 2 have?
Answer: LaCdAu

Question: Which of these has the highest total DFT energy (no corrections)?
Answer: LaCd2Au9

Question: Which value of total DFT energy (no corrections) does entry 1 give?
Answer: -3.29 eV per atom